# Pu3U5S8 (PBE-GGA, relaxed)
data_Pu3U5S8
_cell_length_a 7.7496
_cell_length_b 7.7496
_cell_length_c 19.2073
_cell_angle_alpha 90.00
_cell_angle_beta 90.00
_cell_angle_gamma 120.00
_symmetry_space_group_name_H-M 'R -3 m'
_symmetry_Int_Tables_number 166
_symmetry_space_group_name_Hall '-R 3 2"'
loop_
_atom_site_label
_atom_site_fract_x
_atom_site_fract_y
_atom_site_fract_z
Pu1 0.0000 0.5000 0.0000
U1 0.0000 0.0000 0.0000
U2 0.0000 0.0000 0.5000
U3 0.0000 0.5000 0.5000
S1 0.0000 0.0000 0.2500
S2 0.0002 0.5001 0.2499
# DFT total energy, Ry/atom: -0.7185
# E_form (uncorrected), eV per atom: -1.497